Below is PrTm3Sn3 after structural relaxation, with properties calculated at the PBE-GGA level.

Unit cell a=5.373 b=9.163 c=9.163 alpha=120.00 beta=90.00 gamma=90.00
Sites, in units of the cell vectors:
Pr1 0.250 0.667 0.333
Pr2 0.750 0.333 0.667
Tm1 0.250 0.768 0.764
Tm2 0.250 0.236 0.004
Tm3 0.250 0.996 0.232
Tm4 0.750 0.232 0.236
Tm5 0.750 0.764 0.996
Tm6 0.750 0.004 0.768
Sn1 0.750 0.627 0.554
Sn2 0.750 0.446 0.072
Sn3 0.750 0.928 0.373
Sn4 0.250 0.373 0.446
Sn5 0.250 0.554 0.928
Sn6 0.250 0.072 0.627

- Density: 8.53 g/cm³
- Space group: No. 176
- Calculated total energy: -4.85 eV/atom
- M_tot: 0.000 μB/atom